Entry from Alexandria via LeMat-Bulk: a geometry-optimized YTcRu2 structure (PBE-GGA).

The structure in extended XYZ format:
```
16
Lattice="6.453 0.000 0.000 0.000 6.453 0.000 0.000 0.000 6.453" Properties=species:S:1:pos:R:3 pbc="T T T"
Y 0.000 0.000 0.000
Y 0.000 3.227 3.227
Y 3.227 0.000 3.227
Y 3.227 3.227 0.000
Tc 1.613 1.613 4.840
Tc 1.613 4.840 1.613
Tc 4.840 1.613 1.613
Tc 4.840 4.840 4.840
Ru 0.000 0.000 3.227
Ru 0.000 3.227 0.000
Ru 1.613 1.613 1.613
Ru 1.613 4.840 4.840
Ru 3.227 0.000 0.000
Ru 3.227 3.227 3.227
Ru 4.840 1.613 4.840
Ru 4.840 4.840 1.613
```

Values from the calculation:
- Theoretical density: 9.6 g/cm³
- M_tot: 0.455 μB per atom
- Space group: F-43m
- Energy above the lowest structure with this stoichiometry: 0.208 eV per atom
- Formation energy from the elements: 292 meV per atom